14
Lattice="4.213 0.000 0.003 0.001 4.059 0.000 -0.014 -0.001 13.849" Properties=species:S:1:pos:R:3 comment="Bi2O5 PBE optimized geometry" relative_energy_mev_per_atom=41 density_g_cm3=6.982 m_tot_mub_per_atom=0.0297 e_form_raw_ev_per_atom=-0.567 pbc="T T T"
O 4.097 2.031 1.545
O 2.118 0.000 11.151
O 0.695 0.001 0.002
O 2.678 2.028 8.912
O 2.121 0.000 2.701
O 4.096 2.030 12.313
O 0.053 4.057 9.569
O 2.677 2.027 4.941
O 0.053 4.058 4.280
O 1.326 4.056 6.926
Bi 2.108 4.057 8.888
Bi 0.023 0.000 11.800
Bi 0.027 0.002 2.049
Bi 2.108 4.057 4.964

---

22
Lattice="-3.256 2.234 -5.541 -5.220 -2.985 3.534 0.547 7.473 2.560" Properties=species:S:1:pos:R:3 comment="Bi4O7 PBE optimized geometry" relative_energy_mev_per_atom=0 density_g_cm3=8.940 m_tot_mub_per_atom=0.0000 e_form_raw_ev_per_atom=-1.127 pbc="T T T"
O -1.680 3.954 2.158
O -5.970 7.214 -0.178
O -3.345 2.852 -0.787
O -0.678 2.033 0.366
O -2.567 1.831 -3.578
O -1.959 -0.491 0.732
O -6.249 2.768 -1.604
O -4.583 3.870 1.340
O -7.250 4.689 0.188
O -4.715 0.532 0.119
O -5.430 1.764 2.973
O -3.213 6.190 0.434
O -2.498 4.959 -2.420
O -5.362 4.892 4.131
Bi 0.000 0.000 0.000
Bi -6.620 -0.009 1.554
Bi -3.059 5.630 2.625
Bi -4.869 1.093 -2.071
Bi 0.274 3.737 1.280
Bi -4.619 4.761 -0.687
Bi -1.309 6.731 -1.000
Bi -3.310 1.961 1.240

---

14
Lattice="-3.364 -1.294 1.790 0.441 -5.854 -3.402 4.297 -3.077 5.851" Properties=species:S:1:pos:R:3 comment="Bi2O5 PBE optimized geometry" relative_energy_mev_per_atom=38 density_g_cm3=7.683 m_tot_mub_per_atom=0.0000 e_form_raw_ev_per_atom=-0.570 pbc="T T T"
O 2.179 -5.590 4.578
O 2.954 -3.004 3.380
O -1.682 -0.647 0.895
O -0.096 -2.374 2.628
O -0.805 -4.635 -0.340
O 1.784 -5.926 -0.932
O 0.687 -5.112 2.119
O 1.470 -7.851 1.611
O 3.853 -6.416 2.602
O 0.885 -2.514 -0.154
Bi 2.425 -7.609 3.581
Bi 0.298 -6.350 0.493
Bi -1.051 -2.615 0.657
Bi 1.076 -3.874 3.745

---

12
Lattice="-2.483 1.791 -6.113 -6.368 -0.870 2.332 -0.167 6.541 1.984" Properties=species:S:1:pos:R:3 comment="BiO PBE optimized geometry" relative_energy_mev_per_atom=386 density_g_cm3=7.013 m_tot_mub_per_atom=0.0000 e_form_raw_ev_per_atom=-0.418 pbc="T T T"
O -3.309 4.471 2.654
O -2.834 0.678 -2.474
O -3.226 1.200 1.662
O -1.946 4.614 -3.593
O -0.704 3.718 -0.536
O -6.018 0.243 -1.308
Bi -5.046 0.908 -3.419
Bi -1.675 3.053 1.575
Bi -4.859 2.618 2.741
Bi -3.805 0.013 -0.362
Bi -1.367 5.801 -1.568
Bi -1.283 2.531 -2.561

---

12
Lattice="-1.567 -1.237 3.162 6.837 -8.707 -0.017 3.995 3.131 3.204" Properties=species:S:1:pos:R:3 comment="BiO PBE optimized geometry" relative_energy_mev_per_atom=81 density_g_cm3=9.021 m_tot_mub_per_atom=0.0000 e_form_raw_ev_per_atom=-0.723 pbc="T T T"
Bi 6.473 -6.205 0.781
Bi 7.761 -3.737 2.384
Bi 3.574 -4.236 2.325
Bi 2.346 -0.949 0.791
Bi 2.153 1.683 3.936
Bi 5.052 -0.286 2.391
O 4.483 -6.327 1.958
O 1.757 -2.856 1.965
O 7.173 -5.644 3.558
O 3.062 -0.408 3.569
O 2.110 1.653 1.692
O 3.531 -4.265 0.081

---

16
Lattice="-7.140 1.921 4.857 4.248 -2.650 7.293 1.589 4.298 0.636" Properties=species:S:1:pos:R:3 comment="BiO PBE optimized geometry" relative_energy_mev_per_atom=93 density_g_cm3=8.256 m_tot_mub_per_atom=0.0000 e_form_raw_ev_per_atom=-0.711 pbc="T T T"
O 2.018 1.292 3.049
O -4.101 0.405 7.506
O 1.209 -1.134 4.644
O -0.222 -1.221 8.806
O -3.691 3.300 3.744
O -3.321 2.276 9.737
O -2.669 0.492 3.344
O 2.388 0.269 9.042
Bi 1.889 -1.917 8.236
Bi 0.775 -0.648 2.444
Bi -4.780 1.188 3.914
Bi 0.124 1.136 8.837
Bi 1.708 1.052 5.450
Bi -1.426 2.433 3.949
Bi -3.667 -0.081 9.707
Bi -3.011 2.517 7.336

---

4
Lattice="-0.821 -2.636 3.242 1.904 -1.473 -3.513 4.730 1.108 2.099" Properties=species:S:1:pos:R:3 comment="BiO PBE optimized geometry" relative_energy_mev_per_atom=283 density_g_cm3=8.991 m_tot_mub_per_atom=0.0000 e_form_raw_ev_per_atom=-0.522 pbc="T T T"
O 2.178 -1.584 -0.737
O 3.635 -1.418 2.564
Bi 4.543 -1.030 0.313
Bi 1.270 -1.972 1.515

---

4
Lattice="-2.919 -0.703 1.683 0.756 -4.408 -0.530 1.338 -0.422 5.424" Properties=species:S:1:pos:R:3 comment="BiO PBE optimized geometry" relative_energy_mev_per_atom=0 density_g_cm3=8.978 m_tot_mub_per_atom=0.0000 e_form_raw_ev_per_atom=-0.804 pbc="T T T"
O -0.523 -3.676 1.128
O -0.302 -1.857 5.449
Bi -0.265 -4.059 4.689
Bi -0.561 -1.473 1.889